Entry from Alexandria: a geometry-optimized Sc6Al3Rh structure (PBE).

Summary:
The energy comes out at -6.132 eV/atom. As for the formation energy: -475 meV/atom.

Cell lengths 8.320, 4.820, 10.503 Å; angles 90.00, 109.03, 90.00 degrees
Fractional positions:
Sc: 0.041 0.250 0.419
Sc: 0.174 0.750 0.166
Sc: 0.265 0.250 0.004
Sc: 0.346 0.750 0.810
Sc: 0.363 0.250 0.336
Sc: 0.401 0.250 0.637
Sc: 0.599 0.750 0.363
Sc: 0.637 0.750 0.664
Sc: 0.654 0.250 0.190
Sc: 0.735 0.750 0.996
Sc: 0.826 0.250 0.834
Sc: 0.959 0.750 0.581
Al: 0.024 0.750 0.875
Al: 0.100 0.250 0.717
Al: 0.271 0.750 0.474
Al: 0.729 0.250 0.526
Al: 0.900 0.750 0.283
Al: 0.976 0.250 0.125
Rh: 0.456 0.750 0.091
Rh: 0.544 0.250 0.909